Entry 1:
Computed, not measured: BO2F3 after structural relaxation at the PBE-GGA level of DFT.

abc: 14.4530 6.9731 3.1511
angles: 90.00 95.02 90.00
Space group Cc (No. 9)
Asymmetric unit:
B (0.0000, 0.2273, 0.0000) [4 per cell]
O (0.2221, 0.5001, 0.0127) [4 per cell]
O (0.2778, 0.9999, 0.2488) [4 per cell]
F (0.0001, 0.3658, 0.2889) [4 per cell]
F (0.0802, 0.1559, 0.9026) [4 per cell]
F (0.4197, 0.3439, 0.3388) [4 per cell]

formation energy (no corrections): -1343 meV/atom


Entry 2:
Computed, not measured: La2ScP after structural relaxation at the PBE-GGA level of DFT.

abc: 3.8050 3.8050 7.6384
angles: 90.00 90.00 90.00
Space group P4/mmm (No. 123)
Asymmetric unit:
La (0.0000, 0.0000, 0.2045) [2 per cell]
Sc (0.5000, 0.5000, 0.5000) [1 per cell]
P (0.5000, 0.5000, 0.0000) [1 per cell]

energy of formation from the pure elements: -514 meV/atom


Entry 3:
Computed, not measured: DyY8Tm6 after structural relaxation at the PBE-GGA level of DFT.

abc: 9.6758 9.6758 17.6559
angles: 90.00 90.00 120.00
Space group R-3 (No. 148, hexagonal axes)
Asymmetric unit:
Dy (0.0000, 0.0000, 0.0000) [3 per cell]
Y (0.0000, 0.0000, 0.4110) [6 per cell]
Y (0.0568, 0.8154, 0.1722) [18 per cell]
Tm (0.0333, 0.7411, 0.6785) [18 per cell]

energy of formation from the pure elements: 189 meV/atom


Entry 4:
Computed, not measured: KLa2Re after structural relaxation at the PBE-GGA level of DFT.

abc: 4.1157 4.1157 9.9597
angles: 90.00 90.00 90.00
Space group P4mm (No. 99)
Asymmetric unit:
K (0.0000, 0.0000, 0.0000) [1 per cell]
La (0.0000, 0.0000, 0.6114) [1 per cell]
La (0.5000, 0.5000, 0.3388) [1 per cell]
Re (0.5000, 0.5000, 0.5808) [1 per cell]

energy of formation from the pure elements: 553 meV/atom


Entry 5:
Computed, not measured: TeAs2Cl after structural relaxation at the PBE-GGA level of DFT.

abc: 3.0426 4.5605 6.5051
angles: 90.00 90.00 90.00
Space group Pmmm (No. 47)
Asymmetric unit:
Te (0.0000, 0.0000, 0.0000) [1 per cell]
As (0.0000, 0.5000, 0.2936) [2 per cell]
Cl (0.5000, 0.0000, 0.5000) [1 per cell]

formation energy (no corrections): 176 meV/atom


Entry 6:
Computed, not measured: Zr3TlCd2 after structural relaxation at the PBE-GGA level of DFT.

abc: 3.1881 3.1881 13.0337
angles: 90.00 90.00 90.00
Space group P4/mmm (No. 123)
Asymmetric unit:
Zr (0.0000, 0.0000, 0.0000) [1 per cell]
Zr (0.0000, 0.0000, 0.3315) [2 per cell]
Tl (0.5000, 0.5000, 0.5000) [1 per cell]
Cd (0.5000, 0.5000, 0.1652) [2 per cell]

energy of formation from the pure elements: -91 meV/atom


Entry 7:
Computed, not measured: Sc5PaC5 after structural relaxation at the PBE-GGA level of DFT.

abc: 10.8721 4.7354 6.7945
angles: 90.00 108.63 90.00
Space group C2/m (No. 12)
Asymmetric unit:
Sc (0.0000, 0.0000, 0.0000) [2 per cell]
Sc (0.1768, 0.5000, 0.3479) [4 per cell]
Sc (0.1841, 0.5000, 0.8323) [4 per cell]
Pa (0.0000, 0.0000, 0.5000) [2 per cell]
C (0.0000, 0.5000, 0.5000) [2 per cell]
C (0.1616, 0.0000, 0.3264) [4 per cell]
C (0.1652, 0.0000, 0.8354) [4 per cell]

energy of formation from the pure elements: -439 meV/atom


Entry 8:
Computed, not measured: AsAu3Cl after structural relaxation at the PBE-GGA level of DFT.

abc: 4.9579 4.9579 4.9579
angles: 90.00 90.00 90.00
Space group Pm-3m (No. 221)
Asymmetric unit:
As (0.0000, 0.0000, 0.0000) [1 per cell]
Au (0.0000, 0.0000, 0.5000) [3 per cell]
Cl (0.5000, 0.5000, 0.5000) [1 per cell]

formation energy (no corrections): 353 meV/atom